A geometry-optimized Tb2Sc13 structure, computed with PBE-GGA.

Calculated values
Its space group is P-1. The value obtained for the energy of formation is 63 meV per atom.

POSCAR file:
```
Tb2Sc13
1.0
6.101 0.000 0.000
1.216 8.196 0.000
1.314 3.193 7.568
Tb Sc
2 13
Direct
0.084 0.303 0.422 Tb
0.916 0.697 0.578 Tb
0.000 0.500 0.000 Sc
0.110 0.949 0.748 Sc
0.191 0.719 0.179 Sc
0.289 0.121 0.987 Sc
0.344 0.440 0.661 Sc
0.395 0.902 0.398 Sc
0.486 0.670 0.841 Sc
0.514 0.330 0.159 Sc
0.605 0.098 0.602 Sc
0.656 0.560 0.339 Sc
0.711 0.879 0.013 Sc
0.809 0.281 0.821 Sc
0.890 0.051 0.252 Sc
```